# RbBaLi2Pd, optimized geometry, DFT PBE-GGA
data_RbBaLi2Pd
_space_group_name_H-M_alt 'P 4/m m m'
_space_group_IT_number 123
_space_group_name_Hall '-P 4 2'
_cell_length_a 5.539
_cell_length_b 5.539
_cell_length_c 5.948
_cell_angle_alpha 90.00
_cell_angle_beta 90.00
_cell_angle_gamma 90.00
loop_
_atom_site_label
_atom_site_fract_x
_atom_site_fract_y
_atom_site_fract_z
Rb1 0.000 0.000 0.000
Ba1 0.500 0.500 0.000
Li1 0.000 0.500 0.500
Pd1 0.500 0.500 0.500
# electronic total energy	-2.39	eV/atom
# size of the total moment	0.35	μB per formula unit

***

# RbBa2LiPd, optimized geometry, DFT PBE-GGA
data_RbBa2LiPd
_space_group_name_H-M_alt 'P 4/m m m'
_space_group_IT_number 123
_space_group_name_Hall '-P 4 2'
_cell_length_a 6.301
_cell_length_b 6.301
_cell_length_c 5.762
_cell_angle_alpha 90.00
_cell_angle_beta 90.00
_cell_angle_gamma 90.00
loop_
_atom_site_label
_atom_site_fract_x
_atom_site_fract_y
_atom_site_fract_z
Rb1 0.000 0.000 0.000
Ba1 0.000 0.500 0.500
Li1 0.500 0.500 0.000
Pd1 0.500 0.500 0.500
# ΔE to the lowest computed polymorph	0.00	kJ per mole of atoms
# size of the total moment	0.00	μB per formula unit

***

# RbBa2LiPd, optimized geometry, DFT PBE-GGA
data_RbBa2LiPd
_space_group_name_H-M_alt 'P 4/m m m'
_space_group_IT_number 123
_space_group_name_Hall '-P 4 2'
_cell_length_a 6.229
_cell_length_b 6.229
_cell_length_c 6.652
_cell_angle_alpha 90.00
_cell_angle_beta 90.00
_cell_angle_gamma 90.00
loop_
_atom_site_label
_atom_site_fract_x
_atom_site_fract_y
_atom_site_fract_z
Rb1 0.000 0.000 0.000
Ba1 0.000 0.500 0.500
Li1 0.500 0.500 0.000
Pd1 0.000 0.000 0.500
# ΔE to the lowest computed polymorph	5.82	kJ per mole of atoms
# size of the total moment	0.00	μB per formula unit

***

# Ba8LiPd2Rh, optimized geometry, DFT PBE-GGA
data_Ba8LiPd2Rh
_space_group_name_H-M_alt 'P 1 2/m 1'
_space_group_IT_number 10
_cell_length_a 7.603
_cell_length_b 9.507
_cell_length_c 7.821
_cell_angle_alpha 90.00
_cell_angle_beta 90.97
_cell_angle_gamma 90.00
loop_
_space_group_symop_operation_xyz
'x,y,z'
'-x,-y,-z'
'-x,y,-z'
'x,-y,z'
loop_
_atom_site_label
_atom_site_fract_x
_atom_site_fract_y
_atom_site_fract_z
Ba1 0.218 0.000 0.354
Ba2 0.245 0.500 0.320
Ba3 0.259 0.275 0.828
Li1 0.500 0.000 0.000
Pd1 0.000 0.259 0.500
Rh1 0.500 0.500 0.000
# electronic total energy	-3.15	eV/atom
# size of the total moment	0.00	μB per formula unit

***

# Ba6LiPdRh, optimized geometry, DFT PBE-GGA
data_Ba6LiPdRh
_space_group_name_H-M_alt 'P 3 1 2'
_space_group_IT_number 149
_cell_length_a 8.1083
_cell_length_b 8.1083
_cell_length_c 7.8106
_cell_angle_alpha 90.00
_cell_angle_beta 90.00
_cell_angle_gamma 120.00
loop_
_space_group_symop_operation_xyz
'x,y,z'
'-y,x-y,z'
'-x+y,-x,z'
'-y,-x,-z'
'-x+y,y,-z'
'x,x-y,-z'
loop_
_atom_site_label
_atom_site_fract_x
_atom_site_fract_y
_atom_site_fract_z
Ba1 0.0316 0.3426 0.2250
Li1 0.6667 0.3333 0.5000
Pd1 0.0000 0.0000 0.0000
Rh1 0.3333 0.6667 0.0000
# electronic total energy	-3.08	eV/atom
# size of the total moment	0.00	μB per formula unit

***

# BaLiPdRu2, optimized geometry, DFT PBE-GGA
data_BaLiPdRu2
_space_group_name_H-M_alt 'P 4/m m m'
_space_group_IT_number 123
_space_group_name_Hall '-P 4 2'
_cell_length_a 4.959
_cell_length_b 4.959
_cell_length_c 4.743
_cell_angle_alpha 90.00
_cell_angle_beta 90.00
_cell_angle_gamma 90.00
loop_
_atom_site_label
_atom_site_fract_x
_atom_site_fract_y
_atom_site_fract_z
Ba1 0.000 0.000 0.000
Li1 0.500 0.500 0.000
Pd1 0.500 0.500 0.500
Ru1 0.000 0.500 0.500
# electronic total energy	-4.75	eV/atom
# size of the total moment	3.03	μB per formula unit

***

# BaLiSb2Pd5, optimized geometry, DFT PBE-GGA
data_BaLiSb2Pd5
_space_group_name_H-M_alt 'P 4/m m m'
_space_group_IT_number 123
_space_group_name_Hall '-P 4 2'
_cell_length_a 5.066
_cell_length_b 5.066
_cell_length_c 8.342
_cell_angle_alpha 90.00
_cell_angle_beta 90.00
_cell_angle_gamma 90.00
loop_
_atom_site_label
_atom_site_fract_x
_atom_site_fract_y
_atom_site_fract_z
Ba1 0.000 0.000 0.000
Li1 0.000 0.000 0.500
Sb1 0.500 0.500 0.305
Pd1 0.000 0.500 0.335
Pd2 0.500 0.500 0.000
# size of the total moment	0.00	μB per formula unit
# raw formation energy	-3.10	eV/f.u.

***

# Ba2Li3Sb4Pd, optimized geometry, DFT PBE-GGA
data_Ba2Li3Sb4Pd
_space_group_name_H-M_alt 'P -4 m 2'
_space_group_IT_number 115
_cell_length_a 4.835
_cell_length_b 4.835
_cell_length_c 11.117
_cell_angle_alpha 90.00
_cell_angle_beta 90.00
_cell_angle_gamma 90.00
loop_
_space_group_symop_operation_xyz
'x,y,z'
'y,-x,-z'
'-x,-y,z'
'-y,x,-z'
'-x,y,z'
'-y,-x,-z'
'x,-y,z'
'y,x,-z'
loop_
_atom_site_label
_atom_site_fract_x
_atom_site_fract_y
_atom_site_fract_z
Ba1 0.000 0.500 0.241
Li1 0.000 0.000 0.000
Li2 0.000 0.500 0.633
Sb1 0.000 0.000 0.500
Sb2 0.000 0.500 0.883
Sb3 0.500 0.500 0.500
Pd1 0.500 0.500 0.000
# size of the total moment	0.00	μB per formula unit
# raw formation energy	-7.60	eV/f.u.

***

# BaLiSb2Pd, optimized geometry, DFT PBE-GGA
data_BaLiSb2Pd
_space_group_name_H-M_alt 'I -4 m 2'
_space_group_IT_number 119
_space_group_name_Hall 'I -4 -2'
_cell_length_a 4.734
_cell_length_b 4.734
_cell_length_c 11.480
_cell_angle_alpha 90.00
_cell_angle_beta 90.00
_cell_angle_gamma 90.00
loop_
_atom_site_label
_atom_site_fract_x
_atom_site_fract_y
_atom_site_fract_z
Ba1 0.000 0.000 0.000
Li1 0.000 0.500 0.750
Sb1 0.000 0.000 0.371
Pd1 0.000 0.500 0.250
# size of the total moment	0.00	μB per formula unit
# raw formation energy	-3.99	eV/f.u.

***

# Ba2LiSb4Pd3, optimized geometry, DFT PBE-GGA
data_Ba2LiSb4Pd3
_space_group_name_H-M_alt 'P -4 m 2'
_space_group_IT_number 115
_cell_length_a 4.815
_cell_length_b 4.815
_cell_length_c 10.918
_cell_angle_alpha 90.00
_cell_angle_beta 90.00
_cell_angle_gamma 90.00
loop_
_space_group_symop_operation_xyz
'x,y,z'
'y,-x,-z'
'-x,-y,z'
'-y,x,-z'
'-x,y,z'
'-y,-x,-z'
'x,-y,z'
'y,x,-z'
loop_
_atom_site_label
_atom_site_fract_x
_atom_site_fract_y
_atom_site_fract_z
Ba1 0.000 0.500 0.244
Li1 0.500 0.500 0.000
Sb1 0.000 0.000 0.500
Sb2 0.000 0.500 0.872
Sb3 0.500 0.500 0.500
Pd1 0.000 0.000 0.000
Pd2 0.000 0.500 0.621
# size of the total moment	0.00	μB per formula unit
# raw formation energy	-7.98	eV/f.u.

***

# BaLi2PdSe, optimized geometry, DFT PBE-GGA
data_BaLi2PdSe
_space_group_name_H-M_alt 'P 4/m m m'
_space_group_IT_number 123
_space_group_name_Hall '-P 4 2'
_cell_length_a 4.743
_cell_length_b 4.743
_cell_length_c 6.502
_cell_angle_alpha 90.00
_cell_angle_beta 90.00
_cell_angle_gamma 90.00
loop_
_atom_site_label
_atom_site_fract_x
_atom_site_fract_y
_atom_site_fract_z
Ba1 0.000 0.000 0.000
Li1 0.000 0.500 0.500
Pd1 0.500 0.500 0.000
Se1 0.000 0.000 0.500
# size of the total moment	0.00	μB per formula unit
# raw formation energy	-3.49	eV/f.u.

***

# Ba2LiSi3Pd12, optimized geometry, DFT PBE-GGA
data_Ba2LiSi3Pd12
_space_group_name_H-M_alt 'R -3 m'
_space_group_IT_number 166
_space_group_name_Hall '-R 3 2"'
_cell_length_a 8.5830
_cell_length_b 8.5830
_cell_length_c 17.3804
_cell_angle_alpha 90.00
_cell_angle_beta 90.00
_cell_angle_gamma 120.00
loop_
_atom_site_label
_atom_site_fract_x
_atom_site_fract_y
_atom_site_fract_z
Ba1 0.0000 0.0000 0.1138
Li1 0.0000 0.0000 0.5000
Si1 0.0000 0.5000 0.0000
Pd1 0.0125 0.5062 0.1298
Pd2 0.0495 0.5248 0.3598
# size of the total moment	0.00	μB per formula unit
# raw formation energy	-5.62	eV/f.u.

***

# BaLi2SnPd, optimized geometry, DFT PBE-GGA
data_BaLi2SnPd
_space_group_name_H-M_alt 'P 4/m m m'
_space_group_IT_number 123
_space_group_name_Hall '-P 4 2'
_cell_length_a 5.103
_cell_length_b 5.103
_cell_length_c 5.140
_cell_angle_alpha 90.00
_cell_angle_beta 90.00
_cell_angle_gamma 90.00
loop_
_atom_site_label
_atom_site_fract_x
_atom_site_fract_y
_atom_site_fract_z
Ba1 0.000 0.000 0.000
Li1 0.000 0.500 0.500
Sn1 0.500 0.500 0.000
Pd1 0.500 0.500 0.500
# electronic total energy	-3.39	eV/atom
# size of the total moment	0.24	μB per formula unit

***

# BaLiSnPd3, optimized geometry, DFT PBE-GGA
data_BaLiSnPd3
_space_group_name_H-M_alt 'C m c m'
_space_group_IT_number 63
_space_group_name_Hall '-C 2c 2'
_cell_length_a 6.132
_cell_length_b 12.198
_cell_length_c 6.950
_cell_angle_alpha 90.00
_cell_angle_beta 90.00
_cell_angle_gamma 90.00
loop_
_atom_site_label
_atom_site_fract_x
_atom_site_fract_y
_atom_site_fract_z
Ba1 0.000 0.198 0.250
Li1 0.000 0.441 0.250
Sn1 0.000 0.122 0.750
Pd1 0.000 0.345 0.750
Pd2 0.244 0.000 0.000
# electronic total energy	-4.37	eV/atom
# size of the total moment	0.00	μB per formula unit

***

# Ba2LiSnPd, optimized geometry, DFT PBE-GGA
data_Ba2LiSnPd
_space_group_name_H-M_alt 'P 4/m m m'
_space_group_IT_number 123
_space_group_name_Hall '-P 4 2'
_cell_length_a 6.208
_cell_length_b 6.208
_cell_length_c 4.686
_cell_angle_alpha 90.00
_cell_angle_beta 90.00
_cell_angle_gamma 90.00
loop_
_atom_site_label
_atom_site_fract_x
_atom_site_fract_y
_atom_site_fract_z
Ba1 0.000 0.500 0.000
Li1 0.000 0.000 0.500
Sn1 0.500 0.500 0.500
Pd1 0.000 0.000 0.000
# electronic total energy	-3.33	eV/atom
# size of the total moment	0.00	μB per formula unit

***

# Ba2LiSn6Pd, optimized geometry, DFT PBE-GGA
data_Ba2LiSn6Pd
_space_group_name_H-M_alt 'R -3 m'
_space_group_IT_number 166
_space_group_name_Hall '-R 3 2"'
_cell_length_a 7.1287
_cell_length_b 7.1287
_cell_length_c 39.5876
_cell_angle_alpha 90.00
_cell_angle_beta 90.00
_cell_angle_gamma 120.00
loop_
_atom_site_label
_atom_site_fract_x
_atom_site_fract_y
_atom_site_fract_z
Ba1 0.0000 0.0000 0.1118
Ba2 0.0000 0.0000 0.2880
Li1 0.0000 0.0000 0.4289
Sn1 0.0448 0.5224 0.2950
Sn2 0.0554 0.5277 0.8683
Pd1 0.0000 0.0000 0.0000
Pd2 0.0000 0.0000 0.5000
# electronic total energy	-3.93	eV/atom
# size of the total moment	0.00	μB per formula unit

***

# BaSrLi2Pd2, optimized geometry, DFT PBE-GGA
data_BaSrLi2Pd2
_space_group_name_H-M_alt 'P -3 m 1'
_space_group_IT_number 164
_space_group_name_Hall '-P 3 2"'
_cell_length_a 4.4937
_cell_length_b 4.4937
_cell_length_c 8.8932
_cell_angle_alpha 90.00
_cell_angle_beta 90.00
_cell_angle_gamma 120.00
loop_
_atom_site_label
_atom_site_fract_x
_atom_site_fract_y
_atom_site_fract_z
Ba1 0.0000 0.0000 0.0000
Sr1 0.0000 0.0000 0.5000
Li1 0.3333 0.6667 0.7329
Pd1 0.3333 0.6667 0.2613
# electronic total energy	-3.35	eV/atom
# size of the total moment	0.00	μB per formula unit

***

# BaLiTc2Pd, optimized geometry, DFT PBE-GGA
data_BaLiTc2Pd
_space_group_name_H-M_alt 'P 4/m m m'
_space_group_IT_number 123
_space_group_name_Hall '-P 4 2'
_cell_length_a 4.980
_cell_length_b 4.980
_cell_length_c 4.846
_cell_angle_alpha 90.00
_cell_angle_beta 90.00
_cell_angle_gamma 90.00
loop_
_atom_site_label
_atom_site_fract_x
_atom_site_fract_y
_atom_site_fract_z
Ba1 0.000 0.000 0.000
Li1 0.500 0.500 0.000
Tc1 0.000 0.500 0.500
Pd1 0.500 0.500 0.500
# electronic total energy	-4.97	eV/atom
# size of the total moment	4.58	μB per formula unit

***

# BaLiTePd2, optimized geometry, DFT PBE-GGA
data_BaLiTePd2
_space_group_name_H-M_alt 'P 4/m m m'
_space_group_IT_number 123
_space_group_name_Hall '-P 4 2'
_cell_length_a 4.857
_cell_length_b 4.857
_cell_length_c 5.078
_cell_angle_alpha 90.00
_cell_angle_beta 90.00
_cell_angle_gamma 90.00
loop_
_atom_site_label
_atom_site_fract_x
_atom_site_fract_y
_atom_site_fract_z
Ba1 0.000 0.000 0.000
Li1 0.500 0.500 0.500
Te1 0.500 0.500 0.000
Pd1 0.000 0.500 0.500
# size of the total moment	0.00	μB per formula unit
# raw formation energy	-1.91	eV/f.u.

***

# Ba2LiThPd6, optimized geometry, DFT PBE-GGA
data_Ba2LiThPd6
_space_group_name_H-M_alt 'C 1 2/m 1'
_space_group_IT_number 12
_cell_length_a 12.630
_cell_length_b 5.686
_cell_length_c 8.875
_cell_angle_alpha 90.00
_cell_angle_beta 128.32
_cell_angle_gamma 90.00
loop_
_space_group_symop_operation_xyz
'x,y,z'
'-x,-y,-z'
'-x,y,-z'
'x,-y,z'
'x+1/2,y+1/2,z'
'-x+1/2,-y+1/2,-z'
'-x+1/2,y+1/2,-z'
'x+1/2,-y+1/2,z'
loop_
_atom_site_label
_atom_site_fract_x
_atom_site_fract_y
_atom_site_fract_z
Ba1 0.225 0.000 0.171
Li1 0.000 0.500 0.000
Th1 0.000 0.000 0.500
Pd1 0.014 0.258 0.258
Pd2 0.247 0.000 0.567
# electronic total energy	-4.91	eV/atom
# size of the total moment	0.00	μB per formula unit